The following is a DFT calculation (GGA-PBE) of Nb2Se3S after structural relaxation.

As for the calculated density: 3.01 g/cm³. The calculation puts the electronic total energy at -6.6806 eV per atom. The size of the total moment is 0.4 μB per cell. For the energy above the most stable polymorph in this dataset, the calculation gives 5 meV per atom.

It has space group Cm (No. 8), with a = 5.978 Å, b = 3.450 Å, c = 24.304 Å, α = 90.00°, β = 90.00° and γ = 90.00°. Symmetry generates all atoms from Nb at (0.000, 0.000, 0.000), Nb at (0.000, 0.500, 0.497), Se at (0.333, 0.000, 0.929), Se at (0.333, 0.500, 0.427), Se at (0.333, 0.500, 0.566) and S at (0.333, 0.000, 0.061).

***

The following is a DFT calculation (GGA-PBE) of CsGdNiSe3 after structural relaxation.

As for the calculated density: 5.82 g/cm³. The calculation puts the electronic total energy at -4.5586 eV per atom. The size of the total moment is 3.1 μB per cell. For the energy above the most stable polymorph in this dataset, the calculation gives 232 meV per atom.

It has space group C2/m (No. 12), with a = 16.862 Å, b = 4.370 Å, c = 9.223 Å, α = 90.00°, β = 100.13° and γ = 90.00°. Symmetry generates all atoms from Cs at (0.155, 0.000, 0.067), Gd at (0.164, 0.000, 0.579), Ni at (0.007, 0.500, 0.287), Se at (0.000, 0.000, 0.500), Se at (0.000, 0.500, 0.000), Se at (0.135, 0.500, 0.767) and Se at (0.160, 0.500, 0.363).

***

The following is a DFT calculation (GGA-PBE) of UNi3 after structural relaxation.

As for the calculated density: 12.35 g/cm³. The calculation puts the electronic total energy at -7.0006 eV per atom. The value obtained for the formation energy is 0.0 eV per formula unit. The size of the total moment is 0.0 μB per cell.

It has space group Fm-3m (No. 225), with a = 6.062 Å, b = 6.062 Å, c = 6.062 Å, α = 90.00°, β = 90.00° and γ = 90.00°. Symmetry generates all atoms from U at (0.000, 0.000, 0.000), Ni at (0.000, 0.000, 0.500) and Ni at (0.250, 0.250, 0.250).

***

The following is a DFT calculation (GGA-PBE) of GaTcNiMo after structural relaxation.

As for the calculated density: 9.54 g/cm³. The calculation puts the electronic total energy at -7.4907 eV per atom. The size of the total moment is 3.1 μB per cell. For the energy above the most stable polymorph in this dataset, the calculation gives 0 meV per atom.

It has space group F-43m (No. 216), with a = 6.077 Å, b = 6.077 Å, c = 6.077 Å, α = 90.00°, β = 90.00° and γ = 90.00°. Symmetry generates all atoms from Ga at (0.000, 0.000, 0.000), Tc at (0.250, 0.250, 0.750), Ni at (0.250, 0.250, 0.250) and Mo at (0.000, 0.000, 0.500).

***

The following is a DFT calculation (GGA-PBE) of Al2FeNi after structural relaxation.

As for the calculated density: 5.90 g/cm³. The calculation puts the electronic total energy at -5.8722 eV per atom. The size of the total moment is 0.0 μB per cell.

It has space group P4/mmm (No. 123), with a = 2.895 Å, b = 2.895 Å, c = 5.659 Å, α = 90.00°, β = 90.00° and γ = 90.00°. Symmetry generates all atoms from Al at (0.000, 0.000, 0.241), Fe at (0.500, 0.500, 0.000) and Ni at (0.500, 0.500, 0.500).

***

The following is a DFT calculation (GGA-PBE) of PaGeSe after structural relaxation.

As for the calculated density: 9.59 g/cm³. The calculation puts the electronic total energy at -6.8951 eV per atom. The size of the total moment is 1.1 μB per cell.

It has space group I4/mmm (No. 139), with a = 3.998 Å, b = 3.998 Å, c = 16.592 Å, α = 90.00°, β = 90.00° and γ = 90.00°. Symmetry generates all atoms from Pa at (0.000, 0.000, 0.133), Ge at (0.000, 0.500, 0.000) and Se at (0.000, 0.000, 0.316).

***

The following is a DFT calculation (GGA-PBE) of PmSnNO after structural relaxation.

As for the calculated density: 7.54 g/cm³. The calculation puts the electronic total energy at -6.7241 eV per atom. The size of the total moment is 0.0 μB per cell. For the energy above the most stable polymorph in this dataset, the calculation gives 172 meV per atom.

It has space group P4/nmm (No. 129, origin choice 2), with a = 4.982 Å, b = 4.982 Å, c = 5.212 Å, α = 90.00°, β = 90.00° and γ = 90.00°. Symmetry generates all atoms from Pm at (0.250, 0.750, 0.000), Sn at (0.250, 0.250, 0.496), N at (0.250, 0.250, 0.090) and O at (0.250, 0.750, 0.500).

***

The following is a DFT calculation (GGA-PBE) of CdFeRePb after structural relaxation.

As for the calculated density: 13.17 g/cm³. The calculation puts the electronic total energy at -5.3951 eV per atom. The size of the total moment is 11.2 μB per cell. For the energy above the most stable polymorph in this dataset, the calculation gives 0 meV per atom.

It has space group F-43m (No. 216), with a = 6.567 Å, b = 6.567 Å, c = 6.567 Å, α = 90.00°, β = 90.00° and γ = 90.00°. Symmetry generates all atoms from Cd at (0.000, 0.000, 0.000), Fe at (0.250, 0.250, 0.750), Re at (0.250, 0.250, 0.250) and Pb at (0.000, 0.000, 0.500).

***

The following is a DFT calculation (GGA-PBE) of Gd2ErMg3ZnHg2 after structural relaxation.

As for the calculated density: 7.79 g/cm³. The calculation puts the electronic total energy at -2.6231 eV per atom. The size of the total moment is 0.0 μB per cell.

It has space group Amm2 (No. 38), with a = 4.300 Å, b = 13.198 Å, c = 7.672 Å, α = 90.00°, β = 90.00° and γ = 90.00°. Symmetry generates all atoms from Gd at (0.000, 0.204, 0.000), Er at (0.000, 0.000, 0.390), Mg at (0.500, 0.000, 0.035), Mg at (0.500, 0.121, 0.675), Zn at (0.000, 0.000, 0.792) and Hg at (0.500, 0.164, 0.296).

***

The following is a DFT calculation (GGA-PBE) of CsYCdTe3 after structural relaxation.

As for the calculated density: 5.33 g/cm³. The calculation puts the electronic total energy at -3.9081 eV per atom. The size of the total moment is 0.0 μB per cell.

It has space group C2/m (No. 12), with a = 19.558 Å, b = 4.588 Å, c = 10.170 Å, α = 90.00°, β = 101.77° and γ = 90.00°. Symmetry generates all atoms from Cs at (0.149, 0.000, 0.061), Y at (0.172, 0.000, 0.573), Cd at (0.010, 0.500, 0.717), Te at (0.000, 0.000, 0.500), Te at (0.000, 0.500, 0.000), Te at (0.162, 0.500, 0.769) and Te at (0.167, 0.500, 0.366).

***

The following is a DFT calculation (GGA-PBE) of MgCdSiNi after structural relaxation.

As for the calculated density: 5.87 g/cm³. The calculation puts the electronic total energy at -3.2743 eV per atom. The size of the total moment is 0.0 μB per cell. For the energy above the most stable polymorph in this dataset, the calculation gives 0 meV per atom.

It has space group F-43m (No. 216), with a = 6.325 Å, b = 6.325 Å, c = 6.325 Å, α = 90.00°, β = 90.00° and γ = 90.00°. Symmetry generates all atoms from Mg at (0.000, 0.000, 0.000), Cd at (0.250, 0.250, 0.750), Si at (0.250, 0.250, 0.250) and Ni at (0.000, 0.000, 0.500).

***

The following is a DFT calculation (GGA-PBE) of KThPa after structural relaxation.

As for the calculated density: 7.47 g/cm³. The calculation puts the electronic total energy at -4.2202 eV per atom. The size of the total moment is 4.6 μB per cell. For the energy above the most stable polymorph in this dataset, the calculation gives 0 meV per atom.

It has space group F-43m (No. 216), with a = 7.645 Å, b = 7.645 Å, c = 7.645 Å, α = 90.00°, β = 90.00° and γ = 90.00°. Symmetry generates all atoms from K at (0.000, 0.000, 0.000), Th at (0.000, 0.000, 0.500) and Pa at (0.250, 0.250, 0.250).

***

The following is a DFT calculation (GGA-PBE) of ReI after structural relaxation.

As for the calculated density: 13.05 g/cm³. The calculation puts the electronic total energy at -5.1486 eV per atom. The size of the total moment is 0.0 μB per cell. For the energy above the most stable polymorph in this dataset, the calculation gives 378 meV per atom.

It has space group P-6m2 (No. 187), with a = 3.2081 Å, b = 3.2081 Å, c = 4.4716 Å, α = 90.00°, β = 90.00° and γ = 120.00°. Symmetry generates all atoms from Re at (0.0000, 0.0000, 0.0000) and I at (0.3333, 0.6667, 0.5000).

***

The following is a DFT calculation (GGA-PBE) of DyHoCu2B2N2 after structural relaxation.

As for the calculated density: 8.92 g/cm³. The calculation puts the electronic total energy at -6.7264 eV per atom. The size of the total moment is 0.0 μB per cell.

It has space group P4mm (No. 99), with a = 3.492 Å, b = 3.492 Å, c = 7.695 Å, α = 90.00°, β = 90.00° and γ = 90.00°. Symmetry generates all atoms from Dy at (0.000, 0.000, 0.000), Ho at (0.500, 0.500, 0.670), Cu at (0.000, 0.500, 0.335), B at (0.000, 0.000, 0.509), B at (0.500, 0.500, 0.161), N at (0.000, 0.000, 0.697) and N at (0.500, 0.500, 0.972).

***

The following is a DFT calculation (GGA-PBE) of LaNdMg6 after structural relaxation.

As for the calculated density: 3.45 g/cm³. The calculation puts the electronic total energy at -2.4981 eV per atom. The size of the total moment is 0.0 μB per cell.

It has space group Pmm2 (No. 25), with a = 5.270 Å, b = 7.441 Å, c = 5.268 Å, α = 90.00°, β = 90.00° and γ = 90.00°. Symmetry generates all atoms from La at (0.000, 0.000, 0.000), Nd at (0.500, 0.500, 0.506), Mg at (0.000, 0.253, 0.500), Mg at (0.000, 0.500, 0.001), Mg at (0.500, 0.000, 0.505) and Mg at (0.500, 0.253, 0.007).

***

The following is a DFT calculation (GGA-PBE) of Hf4As3P after structural relaxation.

As for the calculated density: 10.38 g/cm³. The calculation puts the electronic total energy at -8.5080 eV per atom. The size of the total moment is 0.0 μB per cell.

It has space group P-3m1 (No. 164), with a = 3.7547 Å, b = 3.7547 Å, c = 12.7026 Å, α = 90.00°, β = 90.00° and γ = 120.00°. Symmetry generates all atoms from Hf at (0.3333, 0.6667, 0.1197), Hf at (0.3333, 0.6667, 0.3912), As at (0.0000, 0.0000, 0.0000), As at (0.3333, 0.6667, 0.7463) and P at (0.0000, 0.0000, 0.5000).

***

The following is a DFT calculation (GGA-PBE) of Cd2CuBi after structural relaxation.

As for the calculated density: 9.38 g/cm³. The calculation puts the electronic total energy at -2.1573 eV per atom.

It has space group F-43m (No. 216), with a = 7.063 Å, b = 7.063 Å, c = 7.063 Å, α = 90.00°, β = 90.00° and γ = 90.00°. Symmetry generates all atoms from Cd at (0.000, 0.000, 0.000), Cd at (0.250, 0.250, 0.250), Cu at (0.250, 0.250, 0.750) and Bi at (0.000, 0.000, 0.500).

***

The following is a DFT calculation (GGA-PBE) of SmScW after structural relaxation.

As for the calculated density: 8.42 g/cm³. The calculation puts the electronic total energy at -6.4990 eV per atom. The value obtained for the formation energy is 4.5 eV per formula unit. The size of the total moment is 0.0 μB per cell. For the energy above the most stable polymorph in this dataset, the calculation gives 631 meV per atom.

It has space group F-43m (No. 216), with a = 6.688 Å, b = 6.688 Å, c = 6.688 Å, α = 90.00°, β = 90.00° and γ = 90.00°. Symmetry generates all atoms from Sm at (0.000, 0.000, 0.000), Sc at (0.250, 0.250, 0.750) and W at (0.250, 0.250, 0.250).

***

The following is a DFT calculation (GGA-PBE) of Pd2O5 after structural relaxation.

As for the calculated density: 5.95 g/cm³. The calculation puts the electronic total energy at -5.0214 eV per atom. For the energy above the most stable polymorph in this dataset, the calculation gives 0 meV per atom.

It has space group P1 (No. 1), with a = 3.771 Å, b = 4.620 Å, c = 5.443 Å, α = 110.98°, β = 103.62° and γ = 101.58°. Symmetry generates all atoms from Pd at (0.000, 0.000, 0.000), Pd at (0.344, 0.347, 0.675), O at (0.155, 0.441, 0.010), O at (0.363, 0.892, 0.765), O at (0.590, 0.309, 0.378), O at (0.821, 0.113, 0.371) and O at (0.849, 0.571, 0.010).

***

The following is a DFT calculation (GGA-PBE) of BaTmCd2Au4 after structural relaxation.

As for the calculated density: 11.54 g/cm³. The calculation puts the electronic total energy at -3.2047 eV per atom. The size of the total moment is 0.0 μB per cell.

It has space group P4/mmm (No. 123), with a = 5.110 Å, b = 5.110 Å, c = 7.270 Å, α = 90.00°, β = 90.00° and γ = 90.00°. Symmetry generates all atoms from Ba at (0.000, 0.000, 0.000), Tm at (0.500, 0.500, 0.500), Cd at (0.000, 0.000, 0.500), Cd at (0.500, 0.500, 0.000) and Au at (0.000, 0.500, 0.287).